i) 5
Lattice="4.7636 0.0000 0.0000 0.0000 4.7636 0.0000 0.0000 0.0000 4.8734" Properties=species:S:1:pos:R:3 comment="CaAlPCl2 PBE relaxed" dos_at_fermi_per_ev_atom=0.22 pbc="T T T"
Ca 2.3818 2.3818 2.4367
Cl 2.3818 0.0000 0.0000
Cl 0.0000 2.3818 0.0000
Al 0.0000 0.0000 0.0000
P 0.0000 0.0000 2.4367

---

ii) 5
Lattice="5.2723 0.0000 0.0000 0.0000 5.2723 0.0000 0.0000 0.0000 5.8105" Properties=species:S:1:pos:R:3 comment="CaAlPCl2 PBE relaxed" dos_at_fermi_per_ev_atom=0.41 pbc="T T T"
Cl 2.6361 0.0000 0.0000
Cl 0.0000 2.6361 0.0000
Al 2.6361 2.6361 2.9053
P 0.0000 0.0000 2.9053
Ca 0.0000 0.0000 0.0000

---

According to the calculations, the structures order from most to least stable as i), ii).

---

i) 5
Lattice="4.5885 0.0000 0.0000 0.0000 4.5885 0.0000 0.0000 0.0000 5.2549" Properties=species:S:1:pos:R:3 comment="CaAlP2Cl PBE relaxed" dos_at_fermi_per_ev_atom=0.23 pbc="T T T"
Ca 2.2943 2.2943 2.6274
Al 0.0000 0.0000 0.0000
P 0.0000 2.2943 0.0000
P 2.2943 0.0000 0.0000
Cl 0.0000 0.0000 2.6274

---

ii) 5
Lattice="-5.1749 -1.7066 0.1693 1.6749 -5.1450 -0.6669 0.3527 -0.5562 5.1765" Properties=species:S:1:pos:R:3 comment="CaAlP2Cl PBE relaxed" dos_at_fermi_per_ev_atom=0.66 pbc="T T T"
Ca 0.0000 0.0000 0.0000
P -2.5874 -0.8533 0.0846
P 0.8375 -2.5725 -0.3335
Cl 0.1764 -0.2781 2.5882
Al -1.5736 -3.7039 2.3394

---

According to the calculations, the structures order from most to least stable as i), ii).

---

i) 5
Lattice="0.0000 0.2884 -4.6144 3.6748 -4.1374 -0.2586 -3.4597 -3.0610 -0.1913" Properties=species:S:1:pos:R:3 comment="CaAlV2Cl PBE relaxed" dos_at_fermi_per_ev_atom=1.48 pbc="T T T"
Cl 0.1075 -3.4550 -2.5322
Al 1.8374 -2.0687 -0.1293
Ca 0.0000 0.0000 0.0000
V 0.0000 0.1442 -2.3072
V -1.7299 -1.5305 -0.0957

---

ii) 5
Lattice="-3.0308 3.0370 -3.6338 -3.3154 0.9018 3.5188 2.8393 4.6182 1.4916" Properties=species:S:1:pos:R:3 comment="CaAlV2Cl PBE relaxed" dos_at_fermi_per_ev_atom=1.76 pbc="T T T"
V 1.4196 2.3091 0.7458
V -1.5154 1.5185 -1.8169
Ca 0.0000 0.0000 0.0000
Cl -1.6577 0.4509 1.7594
Al -1.7534 4.2785 0.6883

---

According to the calculations, the structures order from most to least stable as ii), i).